# 1
PBE CaCu3, relaxed; calculated total energy = -3.530 eV per atom; space-group type = No. 10
1.0
-2.0075 -0.4812 2.5704
0.4806 -3.1544 -0.2152
5.3739 -2.6993 3.6915
Cu Ca
3 1
direct
0.5000 0.8093 0.6912 Cu
0.0000 0.5000 0.5000 Cu
0.5000 0.1907 0.3088 Cu
0.0000 0.0000 0.0000 Ca


# 2
PBE Ca3Cu, relaxed; calculated total energy = -2.344 eV per atom; space-group type = No. 139
1.0
6.3677 0.0020 0.0000
2.6739 5.7790 0.0000
-4.5208 -2.8905 3.4285
Ca Cu
3 1
direct
0.5000 0.5000 0.0000 Ca
0.7500 0.2500 0.5000 Ca
0.2500 0.7500 0.5000 Ca
0.0000 0.0000 0.0000 Cu


| no. | DOS at the Fermi energy (states/eV/atom) |
| --- | --- |
| 1 | 0.236 |
| 2 | 0.945 |